The following is a DFT calculation (PBE) of a relaxed DyCo4B2 crystal.

```
data_DyCo4B2
_chemical_formula_sum 'Dy2 Co8 B4'
_symmetry_space_group_name_H-M 'C m m m'
_symmetry_Int_Tables_number 65
_symmetry_space_group_name_Hall '-C 2 2'
_cell_length_a 3.542
_cell_length_b 12.709
_cell_length_c 3.524
_cell_angle_alpha 90.00
_cell_angle_beta 90.00
_cell_angle_gamma 90.00
loop_
_atom_site_label
_atom_site_type_symbol
_atom_site_fract_x
_atom_site_fract_y
_atom_site_fract_z
_atom_site_occupancy
Dy1 Dy 0.000 0.000 0.000 1
Co1 Co 0.000 0.182 0.500 1
Co2 Co 0.000 0.316 0.000 1
B1 B 0.000 0.396 0.500 1
```

Output
formation enthalpy at 0 K	-0.32	eV per atom
E	-97.2	eV/cell

---

The following is a DFT calculation (PBE) of a relaxed Cs3MgCl4 crystal.

```
data_Cs3MgCl4
_chemical_formula_sum 'Cs6 Mg2 Cl8'
_symmetry_space_group_name_H-M 'I -4 3 m'
_symmetry_Int_Tables_number 217
_symmetry_space_group_name_Hall 'I -4 2 3'
_cell_length_a 8.971
_cell_length_b 8.971
_cell_length_c 8.971
_cell_angle_alpha 90.00
_cell_angle_beta 90.00
_cell_angle_gamma 90.00
loop_
_atom_site_label
_atom_site_type_symbol
_atom_site_fract_x
_atom_site_fract_y
_atom_site_fract_z
_atom_site_occupancy
Cs1 Cs 0.000 0.000 0.500 1
Mg1 Mg 0.000 0.000 0.000 1
Cl1 Cl 0.154 0.154 0.154 1
```

Output
uncorrected formation energy	-1.62	eV/atom
E	-49.0	eV/cell

---

The following is a DFT calculation (PBE) of a relaxed Na3In11 crystal.

```
data_Na3In11
_chemical_formula_sum 'Na6 In22'
_symmetry_space_group_name_H-M 'I m m m'
_symmetry_Int_Tables_number 71
_symmetry_space_group_name_Hall '-I 2 2'
_cell_length_a 4.934
_cell_length_b 11.749
_cell_length_c 13.473
_cell_angle_alpha 90.00
_cell_angle_beta 90.00
_cell_angle_gamma 90.00
loop_
_atom_site_label
_atom_site_type_symbol
_atom_site_fract_x
_atom_site_fract_y
_atom_site_fract_z
_atom_site_occupancy
Na1 Na 0.000 0.000 0.000 1
Na2 Na 0.000 0.000 0.289 1
In1 In 0.000 0.166 0.500 1
In2 In 0.000 0.279 0.152 1
In3 In 0.000 0.375 0.362 1
In4 In 0.000 0.500 0.000 1
```

Output
formation enthalpy at 0 K	-0.07	eV per atom
E	-70.1	eV/cell

---

The following is a DFT calculation (PBE) of a relaxed Tb5CoHg crystal.

```
data_Tb5CoHg
_chemical_formula_sum 'Tb20 Co4 Hg4'
_symmetry_space_group_name_H-M 'C 1 2/c 1'
_symmetry_Int_Tables_number 15
_cell_length_a 9.623
_cell_length_b 7.194
_cell_length_c 11.596
_cell_angle_alpha 90.00
_cell_angle_beta 107.35
_cell_angle_gamma 90.00
loop_
_symmetry_equiv_pos_as_xyz
'x,y,z'
'-x,-y,-z'
'-x,y,-z+1/2'
'x,-y,z+1/2'
'x+1/2,y+1/2,z'
'-x+1/2,-y+1/2,-z'
'-x+1/2,y+1/2,-z+1/2'
'x+1/2,-y+1/2,z+1/2'
loop_
_atom_site_label
_atom_site_type_symbol
_atom_site_fract_x
_atom_site_fract_y
_atom_site_fract_z
_atom_site_occupancy
Tb1 Tb 0.000 0.007 0.250 1
Tb2 Tb 0.116 0.324 0.560 1
Tb3 Tb 0.241 0.168 0.128 1
Co1 Co 0.000 0.000 0.000 1
Hg1 Hg 0.000 0.426 0.250 1
```

Output
formation enthalpy at 0 K	-0.10	eV per atom
E	-125.0	eV/cell

---

The following is a DFT calculation (PBE) of a relaxed Ba2ZnNi crystal.

```
data_Ba2ZnNi
_chemical_formula_sum 'Ba8 Zn4 Ni4'
_symmetry_space_group_name_H-M 'F -4 3 m'
_symmetry_Int_Tables_number 216
_symmetry_space_group_name_Hall 'F -4 2 3'
_cell_length_a 7.604
_cell_length_b 7.604
_cell_length_c 7.604
_cell_angle_alpha 90.00
_cell_angle_beta 90.00
_cell_angle_gamma 90.00
loop_
_atom_site_label
_atom_site_type_symbol
_atom_site_fract_x
_atom_site_fract_y
_atom_site_fract_z
_atom_site_occupancy
Ba1 Ba 0.000 0.000 0.000 1
Ba2 Ba 0.250 0.250 0.250 1
Zn1 Zn 0.250 0.250 0.750 1
Ni1 Ni 0.000 0.000 0.500 1
```

Output
formation enthalpy at 0 K	0.28	eV per atom
E	-39.0	eV/cell

---

The following is a DFT calculation (PBE) of a relaxed CdPAu crystal.

```
data_CdPAu
_chemical_formula_sum 'Cd2 P2 Au2'
_symmetry_space_group_name_H-M 'P -1'
_symmetry_Int_Tables_number 2
_cell_length_a 4.561
_cell_length_b 5.077
_cell_length_c 6.524
_cell_angle_alpha 111.60
_cell_angle_beta 95.65
_cell_angle_gamma 91.74
loop_
_symmetry_equiv_pos_as_xyz
'x,y,z'
'-x,-y,-z'
loop_
_atom_site_label
_atom_site_type_symbol
_atom_site_fract_x
_atom_site_fract_y
_atom_site_fract_z
_atom_site_occupancy
Cd1 Cd 0.011 0.177 0.351 1
P1 P 0.401 0.196 0.082 1
Au1 Au 0.239 0.393 0.802 1
```

Output
formation enthalpy at 0 K	0.00	eV per atom
E	-19.2	eV/cell

---

The following is a DFT calculation (PBE) of a relaxed Cs2CdWS4 crystal.

```
data_Cs2CdWS4
_chemical_formula_sum 'Cs16 Cd8 W8 S32'
_symmetry_space_group_name_H-M 'F d d d'
_symmetry_Int_Tables_number 70
_cell_length_a 7.456
_cell_length_b 13.357
_cell_length_c 24.421
_cell_angle_alpha 90.00
_cell_angle_beta 90.00
_cell_angle_gamma 90.00
loop_
_symmetry_equiv_pos_as_xyz
'x,y,z'
'-x,-y,-z'
'-x+1/4,-y+1/4,z'
'x+1/4,y+1/4,-z'
'x,-y+1/4,-z+1/4'
'-x,y+1/4,z+1/4'
'-x+1/4,y,-z+1/4'
'x+1/4,-y,z+1/4'
'x,y+1/2,z+1/2'
'-x,-y+1/2,-z+1/2'
'-x+1/4,-y+3/4,z+1/2'
'x+1/4,y+3/4,-z+1/2'
'x,-y+3/4,-z+3/4'
'-x,y+3/4,z+3/4'
'-x+1/4,y+1/2,-z+3/4'
'x+1/4,-y+1/2,z+3/4'
'x+1/2,y,z+1/2'
'-x+1/2,-y,-z+1/2'
'-x+3/4,-y+1/4,z+1/2'
'x+3/4,y+1/4,-z+1/2'
'x+1/2,-y+1/4,-z+3/4'
'-x+1/2,y+1/4,z+3/4'
'-x+3/4,y,-z+3/4'
'x+3/4,-y,z+3/4'
'x+1/2,y+1/2,z'
'-x+1/2,-y+1/2,-z'
'-x+3/4,-y+3/4,z'
'x+3/4,y+3/4,-z'
'x+1/2,-y+3/4,-z+1/4'
'-x+1/2,y+3/4,z+1/4'
'-x+3/4,y+1/2,-z+1/4'
'x+3/4,-y+1/2,z+1/4'
loop_
_atom_site_label
_atom_site_type_symbol
_atom_site_fract_x
_atom_site_fract_y
_atom_site_fract_z
_atom_site_occupancy
Cs1 Cs 0.125 0.125 0.304 1
Cd1 Cd 0.125 0.125 0.125 1
W1 W 0.125 0.125 0.625 1
S1 S 0.063 0.283 0.825 1
```

Output
uncorrected formation energy	-0.76	eV/atom
E	-305.4	eV/cell

---

The following is a DFT calculation (PBE) of a relaxed AgGe2MoW crystal.

```
data_AgGe2MoW
_chemical_formula_sum 'Ag1 Ge2 Mo1 W1'
_symmetry_space_group_name_H-M 'P 4/m m m'
_symmetry_Int_Tables_number 123
_symmetry_space_group_name_Hall '-P 4 2'
_cell_length_a 4.808
_cell_length_b 4.808
_cell_length_c 5.168
_cell_angle_alpha 90.00
_cell_angle_beta 90.00
_cell_angle_gamma 90.00
loop_
_atom_site_label
_atom_site_type_symbol
_atom_site_fract_x
_atom_site_fract_y
_atom_site_fract_z
_atom_site_occupancy
Ag1 Ag 0.000 0.000 0.000 1
Ge1 Ge 0.000 0.500 0.500 1
Mo1 Mo 0.500 0.500 0.000 1
W1 W 0.000 0.000 0.500 1
```

Output
formation enthalpy at 0 K	1.41	eV per atom
E	-28.8	eV/cell

---

The following is a DFT calculation (PBE) of a relaxed TaNb2GaSi crystal.

```
data_TaNb2GaSi
_chemical_formula_sum 'Ta1 Nb2 Ga1 Si1'
_symmetry_space_group_name_H-M 'P 4/m m m'
_symmetry_Int_Tables_number 123
_symmetry_space_group_name_Hall '-P 4 2'
_cell_length_a 4.928
_cell_length_b 4.928
_cell_length_c 4.780
_cell_angle_alpha 90.00
_cell_angle_beta 90.00
_cell_angle_gamma 90.00
loop_
_atom_site_label
_atom_site_type_symbol
_atom_site_fract_x
_atom_site_fract_y
_atom_site_fract_z
_atom_site_occupancy
Ta1 Ta 0.000 0.000 0.000 1
Nb1 Nb 0.000 0.500 0.000 1
Ga1 Ga 0.500 0.500 0.500 1
Si1 Si 0.000 0.000 0.500 1
```

Output
uncorrected formation energy	1.27	eV/atom
E	-34.1	eV/cell

---

The following is a DFT calculation (PBE) of a relaxed FeGeCl4 crystal.

```
data_FeGeCl4
_chemical_formula_sum 'Fe4 Ge4 Cl16'
_symmetry_space_group_name_H-M 'C m c m'
_symmetry_Int_Tables_number 63
_symmetry_space_group_name_Hall '-C 2c 2'
_cell_length_a 7.132
_cell_length_b 12.178
_cell_length_c 8.970
_cell_angle_alpha 90.00
_cell_angle_beta 90.00
_cell_angle_gamma 90.00
loop_
_atom_site_label
_atom_site_type_symbol
_atom_site_fract_x
_atom_site_fract_y
_atom_site_fract_z
_atom_site_occupancy
Fe1 Fe 0.000 0.203 0.250 1
Ge1 Ge 0.000 0.289 0.750 1
Cl1 Cl 0.000 0.313 0.050 1
Cl2 Cl 0.250 0.079 0.250 1
```

Output
uncorrected formation energy	-0.70	eV/atom
E	-98.6	eV/cell

---

The following is a DFT calculation (PBE) of a relaxed PrZn3Ge crystal.

```
data_PrZn3Ge
_chemical_formula_sum 'Pr4 Zn12 Ge4'
_symmetry_space_group_name_H-M 'C m c m'
_symmetry_Int_Tables_number 63
_symmetry_space_group_name_Hall '-C 2c 2'
_cell_length_a 5.999
_cell_length_b 10.820
_cell_length_c 5.912
_cell_angle_alpha 90.00
_cell_angle_beta 90.00
_cell_angle_gamma 90.00
loop_
_atom_site_label
_atom_site_type_symbol
_atom_site_fract_x
_atom_site_fract_y
_atom_site_fract_z
_atom_site_occupancy
Pr1 Pr 0.000 0.249 0.250 1
Zn1 Zn 0.000 0.370 0.750 1
Zn2 Zn 0.249 0.500 0.000 1
Ge1 Ge 0.000 0.141 0.750 1
```

Output
formation enthalpy at 0 K	-0.45	eV per atom
E	-61.8	eV/cell

---

The following is a DFT calculation (PBE) of a relaxed Tb2Pr5HoSc crystal.

```
data_Tb2Pr5HoSc
_chemical_formula_sum 'Tb8 Pr20 Ho4 Sc4'
_symmetry_space_group_name_H-M 'C m c 21'
_symmetry_Int_Tables_number 36
_cell_length_a 5.420
_cell_length_b 22.005
_cell_length_c 10.310
_cell_angle_alpha 90.00
_cell_angle_beta 90.00
_cell_angle_gamma 90.00
loop_
_symmetry_equiv_pos_as_xyz
'x,y,z'
'-x,-y,z+1/2'
'-x,y,z'
'x,-y,z+1/2'
'x+1/2,y+1/2,z'
'-x+1/2,-y+1/2,z+1/2'
'-x+1/2,y+1/2,z'
'x+1/2,-y+1/2,z+1/2'
loop_
_atom_site_label
_atom_site_type_symbol
_atom_site_fract_x
_atom_site_fract_y
_atom_site_fract_z
_atom_site_occupancy
Tb1 Tb 0.000 0.115 0.000 1
Tb2 Tb 0.000 0.115 0.495 1
Pr1 Pr 0.000 0.000 0.247 1
Pr2 Pr 0.000 0.278 0.560 1
Pr3 Pr 0.000 0.278 0.936 1
Pr4 Pr 0.000 0.372 0.248 1
Pr5 Pr 0.000 0.500 0.497 1
Ho1 Ho 0.000 0.398 0.747 1
Sc1 Sc 0.000 0.211 0.248 1
```

Output
formation enthalpy at 0 K	0.12	eV per atom
E	-171.9	eV/cell

---

The following is a DFT calculation (PBE) of a relaxed NpMnCuS4 crystal.

```
data_NpMnCuS4
_chemical_formula_sum 'Np4 Mn4 Cu4 S16'
_symmetry_space_group_name_H-M 'I m m a'
_symmetry_Int_Tables_number 74
_symmetry_space_group_name_Hall '-I 2b 2'
_cell_length_a 7.428
_cell_length_b 7.677
_cell_length_c 9.991
_cell_angle_alpha 90.00
_cell_angle_beta 90.00
_cell_angle_gamma 90.00
loop_
_atom_site_label
_atom_site_type_symbol
_atom_site_fract_x
_atom_site_fract_y
_atom_site_fract_z
_atom_site_occupancy
Np1 Np 0.000 0.000 0.000 1
Mn1 Mn 0.250 0.250 0.250 1
Cu1 Cu 0.000 0.250 0.637 1
S1 S 0.000 0.023 0.260 1
S2 S 0.250 0.250 0.005 1
```

Output
uncorrected formation energy	-0.79	eV/atom
E	-193.0	eV/cell

---

The following is a DFT calculation (PBE) of a relaxed LuHfFePd crystal.

```
data_LuHfFePd
_chemical_formula_sum 'Lu4 Hf4 Fe4 Pd4'
_symmetry_space_group_name_H-M 'F -4 3 m'
_symmetry_Int_Tables_number 216
_symmetry_space_group_name_Hall 'F -4 2 3'
_cell_length_a 6.570
_cell_length_b 6.570
_cell_length_c 6.570
_cell_angle_alpha 90.00
_cell_angle_beta 90.00
_cell_angle_gamma 90.00
loop_
_atom_site_label
_atom_site_type_symbol
_atom_site_fract_x
_atom_site_fract_y
_atom_site_fract_z
_atom_site_occupancy
Lu1 Lu 0.000 0.000 0.000 1
Hf1 Hf 0.000 0.000 0.500 1
Fe1 Fe 0.250 0.250 0.750 1
Pd1 Pd 0.250 0.250 0.250 1
```

Output
formation enthalpy at 0 K	-0.41	eV per atom
E	-119.1	eV/cell

---

The following is a DFT calculation (PBE) of a relaxed EuHoAgGe crystal.

```
data_EuHoAgGe
_chemical_formula_sum 'Eu4 Ho4 Ag4 Ge4'
_symmetry_space_group_name_H-M 'F -4 3 m'
_symmetry_Int_Tables_number 216
_symmetry_space_group_name_Hall 'F -4 2 3'
_cell_length_a 7.319
_cell_length_b 7.319
_cell_length_c 7.319
_cell_angle_alpha 90.00
_cell_angle_beta 90.00
_cell_angle_gamma 90.00
loop_
_atom_site_label
_atom_site_type_symbol
_atom_site_fract_x
_atom_site_fract_y
_atom_site_fract_z
_atom_site_occupancy
Eu1 Eu 0.000 0.000 0.000 1
Ho1 Ho 0.000 0.000 0.500 1
Ag1 Ag 0.250 0.250 0.750 1
Ge1 Ge 0.250 0.250 0.250 1
```

Output
formation enthalpy at 0 K	-0.51	eV per atom
E	-97.5	eV/cell

---

The following is a DFT calculation (PBE) of a relaxed Sc2GaSiS crystal.

```
data_Sc2GaSiS
_chemical_formula_sum 'Sc2 Ga1 Si1 S1'
_symmetry_space_group_name_H-M 'P 4/m m m'
_symmetry_Int_Tables_number 123
_symmetry_space_group_name_Hall '-P 4 2'
_cell_length_a 4.784
_cell_length_b 4.784
_cell_length_c 4.615
_cell_angle_alpha 90.00
_cell_angle_beta 90.00
_cell_angle_gamma 90.00
loop_
_atom_site_label
_atom_site_type_symbol
_atom_site_fract_x
_atom_site_fract_y
_atom_site_fract_z
_atom_site_occupancy
Sc1 Sc 0.000 0.500 0.000 1
Ga1 Ga 0.000 0.000 0.500 1
Si1 Si 0.500 0.500 0.500 1
S1 S 0.500 0.500 0.000 1
```

Output
uncorrected formation energy	-0.31	eV/atom
E	-26.8	eV/cell

---

The following is a DFT calculation (PBE) of a relaxed YCr4Ir crystal.

```
data_YCr4Ir
_chemical_formula_sum 'Y4 Cr16 Ir4'
_symmetry_space_group_name_H-M 'F -4 3 m'
_symmetry_Int_Tables_number 216
_symmetry_space_group_name_Hall 'F -4 2 3'
_cell_length_a 7.022
_cell_length_b 7.022
_cell_length_c 7.022
_cell_angle_alpha 90.00
_cell_angle_beta 90.00
_cell_angle_gamma 90.00
loop_
_atom_site_label
_atom_site_type_symbol
_atom_site_fract_x
_atom_site_fract_y
_atom_site_fract_z
_atom_site_occupancy
Y1 Y 0.000 0.000 0.000 1
Cr1 Cr 0.127 0.127 0.627 1
Ir1 Ir 0.250 0.250 0.250 1
```

Output
formation enthalpy at 0 K	0.18	eV per atom
E	-211.0	eV/cell

---

The following is a DFT calculation (PBE) of a relaxed CoCuTe4 crystal.

```
data_CoCuTe4
_chemical_formula_sum 'Co4 Cu4 Te16'
_symmetry_space_group_name_H-M 'F -4 3 m'
_symmetry_Int_Tables_number 216
_symmetry_space_group_name_Hall 'F -4 2 3'
_cell_length_a 8.851
_cell_length_b 8.851
_cell_length_c 8.851
_cell_angle_alpha 90.00
_cell_angle_beta 90.00
_cell_angle_gamma 90.00
loop_
_atom_site_label
_atom_site_type_symbol
_atom_site_fract_x
_atom_site_fract_y
_atom_site_fract_z
_atom_site_occupancy
Co1 Co 0.000 0.000 0.000 1
Cu1 Cu 0.250 0.250 0.750 1
Te1 Te 0.125 0.125 0.375 1
```

Output
uncorrected formation energy	1.11	eV/atom
E	-68.5	eV/cell

---

The following is a DFT calculation (PBE) of a relaxed CaDyAgSn crystal.

```
data_CaDyAgSn
_chemical_formula_sum 'Ca4 Dy4 Ag4 Sn4'
_symmetry_space_group_name_H-M 'F -4 3 m'
_symmetry_Int_Tables_number 216
_symmetry_space_group_name_Hall 'F -4 2 3'
_cell_length_a 7.458
_cell_length_b 7.458
_cell_length_c 7.458
_cell_angle_alpha 90.00
_cell_angle_beta 90.00
_cell_angle_gamma 90.00
loop_
_atom_site_label
_atom_site_type_symbol
_atom_site_fract_x
_atom_site_fract_y
_atom_site_fract_z
_atom_site_occupancy
Ca1 Ca 0.000 0.000 0.000 1
Dy1 Dy 0.000 0.000 0.500 1
Ag1 Ag 0.250 0.250 0.750 1
Sn1 Sn 0.250 0.250 0.250 1
```

Output
formation enthalpy at 0 K	-0.54	eV per atom
E	-62.4	eV/cell

---

The following is a DFT calculation (PBE) of a relaxed SrBe3Pt3 crystal.

```
data_SrBe3Pt3
_chemical_formula_sum 'Sr2 Be6 Pt6'
_symmetry_space_group_name_H-M 'P m -3 n'
_symmetry_Int_Tables_number 223
_symmetry_space_group_name_Hall '-P 4n 2 3'
_cell_length_a 6.260
_cell_length_b 6.260
_cell_length_c 6.260
_cell_angle_alpha 90.00
_cell_angle_beta 90.00
_cell_angle_gamma 90.00
loop_
_atom_site_label
_atom_site_type_symbol
_atom_site_fract_x
_atom_site_fract_y
_atom_site_fract_z
_atom_site_occupancy
Sr1 Sr 0.000 0.000 0.000 1
Be1 Be 0.000 0.250 0.500 1
Pt1 Pt 0.000 0.500 0.250 1
```

Output
formation enthalpy at 0 K	-0.53	eV per atom
E	-69.4	eV/cell